A plane-wave DFT calculation with PBE was carried out for a geometry-optimized Li5Cd2Hg2Ge structure.

```
Li5Cd2Hg2Ge
1.0
10.629 0.000 0.000
0.000 10.629 0.000
0.000 0.000 3.433
Li Cd Hg Ge
10 4 4 2
Direct
0.000 0.500 0.000
0.060 0.182 0.000
0.182 0.940 0.000
0.318 0.440 0.000
0.440 0.682 0.000
0.500 0.000 0.000
0.560 0.318 0.000
0.682 0.560 0.000
0.818 0.060 0.000
0.940 0.818 0.000
0.165 0.665 0.500
0.335 0.165 0.500
0.665 0.835 0.500
0.835 0.335 0.500
0.136 0.364 0.500
0.364 0.864 0.500
0.636 0.136 0.500
0.864 0.636 0.500
0.000 0.000 0.500
0.500 0.500 0.500
```

Properties
**Volume**: 388 Å³/cell
**Space-group type**: No. 127
**Total energy**: -37.50 eV for the cell shown
**Total magnetic moment**: 0.00 Bohr magnetons per cell

***

A plane-wave DFT calculation with PBE was carried out for a geometry-optimized Pm3Ho2Tm3 structure.

```
Pm3Ho2Tm3
1.0
16.158 0.000 0.000
0.000 5.680 0.000
-2.084 0.000 5.623
Pm Ho Tm
6 4 6
Direct
0.000 0.000 0.000
0.135 0.000 0.699
0.365 0.500 0.301
0.500 0.500 0.000
0.635 0.500 0.699
0.865 0.000 0.301
0.250 0.000 0.318
0.250 0.500 0.682
0.750 0.000 0.682
0.750 0.500 0.318
0.000 0.500 0.500
0.132 0.500 0.080
0.368 0.000 0.920
0.500 0.000 0.500
0.632 0.000 0.080
0.868 0.500 0.920
```

Properties
**Volume**: 516 Å³/cell
**Space-group type**: No. 12
**Total energy**: -72.18 eV for the cell shown
**Energy above the most stable polymorph in this dataset**: 0.0000 eV/atom
**Total magnetic moment**: 0.00 Bohr magnetons per cell

***

A plane-wave DFT calculation with PBE was carried out for a geometry-optimized LiC3S structure.

```
LiC3S
1.0
3.586 0.000 0.000
0.000 3.586 0.000
0.000 0.000 3.586
Li C S
1 3 1
Direct
0.000 0.000 0.000
0.000 0.500 0.500
0.500 0.000 0.500
0.500 0.500 0.000
0.500 0.500 0.500
```

Properties
**Volume**: 46 Å³/cell
**Space-group type**: No. 221
**Total energy**: -22.14 eV for the cell shown
**Energy above the most stable polymorph in this dataset**: 0.0000 eV/atom
**Total magnetic moment**: 0.00 Bohr magnetons per cell

***

A plane-wave DFT calculation with PBE was carried out for a geometry-optimized LaSm2Dy structure.

```
LaSm2Dy
1.0
5.129 0.000 0.000
0.000 5.129 0.000
0.000 0.000 5.175
La Sm Dy
1 2 1
Direct
0.000 0.000 0.000
0.000 0.500 0.500
0.500 0.000 0.500
0.500 0.500 0.000
```

Properties
**Volume**: 136 Å³/cell
**Space-group type**: No. 123
**Total energy**: -18.88 eV for the cell shown
**Energy above the most stable polymorph in this dataset**: 0.0029 eV/atom
**Total magnetic moment**: 0.00 Bohr magnetons per cell

***

A plane-wave DFT calculation with PBE was carried out for a geometry-optimized MnBi2B structure.

```
MnBi2B
1.0
6.050 0.000 0.000
0.000 6.050 0.000
0.000 0.000 10.562
Mn Bi B
4 8 4
Direct
0.000 0.000 0.000
0.000 0.500 0.250
0.500 0.000 0.750
0.500 0.500 0.500
0.218 0.250 0.625
0.250 0.718 0.875
0.250 0.782 0.375
0.282 0.250 0.125
0.718 0.750 0.125
0.750 0.218 0.375
0.750 0.282 0.875
0.782 0.750 0.625
0.000 0.000 0.500
0.000 0.500 0.750
0.500 0.000 0.250
0.500 0.500 0.000
```

Properties
**Volume**: 387 Å³/cell
**Space-group type**: No. 122
**Total energy**: -75.89 eV for the cell shown
**Total magnetic moment**: 0.70 Bohr magnetons per cell

***

A plane-wave DFT calculation with PBE was carried out for a geometry-optimized PmAl2Hg structure.

```
PmAl2Hg
1.0
4.485 0.000 0.000
0.000 4.485 0.000
0.000 0.000 4.389
Pm Al Hg
1 2 1
Direct
0.000 0.000 0.000
0.000 0.500 0.500
0.500 0.000 0.500
0.500 0.500 0.000
```

Properties
**Volume**: 88 Å³/cell
**Space-group type**: No. 123
**Total energy**: -13.84 eV for the cell shown
**Energy above the most stable polymorph in this dataset**: 0.0000 eV/atom
**Total magnetic moment**: 0.00 Bohr magnetons per cell

***

A plane-wave DFT calculation with PBE was carried out for a geometry-optimized PmBiAs2 structure.

```
PmBiAs2
1.0
5.006 0.000 0.000
0.000 5.006 0.000
0.000 0.000 3.929
Pm Bi As
1 1 2
Direct
0.000 0.000 0.000
0.500 0.500 0.000
0.000 0.500 0.500
0.500 0.000 0.500
```

Properties
**Volume**: 98 Å³/cell
**Space-group type**: No. 123
**Total energy**: -20.14 eV for the cell shown
**Energy above the most stable polymorph in this dataset**: 0.0000 eV/atom
**Total magnetic moment**: 0.00 Bohr magnetons per cell

***

A plane-wave DFT calculation with PBE was carried out for a geometry-optimized NpVP2Os structure.

```
NpVP2Os
1.0
3.954 0.000 0.000
0.000 3.954 0.000
0.000 0.000 10.129
Np V P Os
2 2 4 2
Direct
0.000 0.000 0.000
0.500 0.500 0.500
0.000 0.500 0.250
0.500 0.000 0.750
0.000 0.000 0.382
0.000 0.000 0.618
0.500 0.500 0.118
0.500 0.500 0.882
0.000 0.500 0.750
0.500 0.000 0.250
```

Properties
**Volume**: 158 Å³/cell
**Space-group type**: No. 119
**Total energy**: -93.81 eV for the cell shown
**Total magnetic moment**: 10.12 Bohr magnetons per cell

***

A plane-wave DFT calculation with PBE was carried out for a geometry-optimized LiSiIrRu structure.

```
LiSiIrRu
1.0
5.812 0.000 0.000
0.000 5.812 0.000
0.000 0.000 5.812
Li Si Ir Ru
4 4 4 4
Direct
0.000 0.000 0.000
0.000 0.500 0.500
0.500 0.000 0.500
0.500 0.500 0.000
0.000 0.000 0.500
0.000 0.500 0.000
0.500 0.000 0.000
0.500 0.500 0.500
0.250 0.250 0.750
0.250 0.750 0.250
0.750 0.250 0.250
0.750 0.750 0.750
0.250 0.250 0.250
0.250 0.750 0.750
0.750 0.250 0.750
0.750 0.750 0.250
```

Properties
**Volume**: 196 Å³/cell
**Space-group type**: No. 216
**Total energy**: -110.42 eV for the cell shown
**Total magnetic moment**: 0.00 Bohr magnetons per cell

***

A plane-wave DFT calculation with PBE was carried out for a geometry-optimized CeSm2Bi2 structure.

```
CeSm2Bi2
1.0
5.440 -6.273 0.000
5.440 6.273 0.000
-3.471 0.000 5.127
Ce Sm Bi
2 4 4
Direct
0.097 0.903 0.750
0.903 0.097 0.250
0.229 0.416 0.036
0.416 0.229 0.536
0.584 0.771 0.464
0.771 0.584 0.964
0.177 0.823 0.250
0.367 0.633 0.750
0.633 0.367 0.250
0.823 0.177 0.750
```

Properties
**Volume**: 350 Å³/cell
**Space-group type**: No. 15
**Total energy**: -50.50 eV for the cell shown
**Total magnetic moment**: 2.61 Bohr magnetons per cell

***

A plane-wave DFT calculation with PBE was carried out for a geometry-optimized Nb2ZnW structure.

```
Nb2ZnW
1.0
3.125 0.000 0.000
-1.563 2.706 0.000
0.000 0.000 25.230
Nb Zn W
6 3 3
Direct
0.000 0.000 0.247
0.000 0.000 0.753
0.333 0.667 0.420
0.333 0.667 0.914
0.667 0.333 0.086
0.667 0.333 0.580
0.000 0.000 0.000
0.333 0.667 0.667
0.667 0.333 0.333
0.000 0.000 0.500
0.333 0.667 0.167
0.667 0.333 0.833
```

Properties
**Volume**: 213 Å³/cell
**Space-group type**: No. 166
**Total energy**: -99.98 eV for the cell shown
**Total magnetic moment**: 0.00 Bohr magnetons per cell

***

A plane-wave DFT calculation with PBE was carried out for a geometry-optimized CrAgTePd2 structure.

```
CrAgTePd2
1.0
4.979 0.000 0.000
0.000 4.979 0.000
0.000 0.000 5.102
Cr Ag Te Pd
1 1 1 2
Direct
0.000 0.000 0.000
0.500 0.500 0.000
0.500 0.500 0.500
0.000 0.500 0.500
0.500 0.000 0.500
```

Properties
**Volume**: 126 Å³/cell
**Space-group type**: No. 123
**Total energy**: -22.88 eV for the cell shown
**Total magnetic moment**: 4.95 Bohr magnetons per cell